Density functional theory data (GGA+U) for a geometry-optimized MnTl3Tc2O9 structure.

Cell: 5.748 5.748 7.102 Å, 90.00 90.00 120.00°
Each line ends with the local moment (μB).
Fractional coordinates of all 15 atoms:
Mn 0.000 0.000 0.500  4.60
Tl 0.333 0.667 0.666  0.00
Tl 0.000 0.000 0.000  0.00
Tl 0.667 0.333 0.334  0.00
Tc 0.333 0.667 0.168  -0.17
Tc 0.667 0.333 0.832  -0.17
O 0.823 0.177 0.688  -0.01
O 0.823 0.645 0.688  -0.01
O 0.355 0.177 0.688  -0.01
O 0.645 0.823 0.312  -0.01
O 0.177 0.355 0.312  -0.01
O 0.177 0.823 0.312  -0.01
O 0.500 0.000 0.000  0.02
O 0.000 0.500 0.000  0.02
O 0.500 0.500 0.000  0.02

Properties
Raw total energy: -97.04 eV per cell
Symmetry: P-3m1
Density of states at the Fermi level: 0.291 states/eV per atom